The following is a DFT calculation (PBE+U) of an optimized crystal structure of NiS3O9.

SG ... No. 9
Total energy ... -5.754 eV per atom

Cell lengths 7.166, 7.908, 8.433 Å; angles 71.43, 64.86, 63.06 degrees
Site moments in Bohr magnetons follow the coordinates.
Sites, in units of the cell vectors:
O 0.850 0.300 0.119  0.02
O 0.285 0.945 0.758  0.01
O 0.731 0.800 0.619  0.02
O 0.148 0.983 0.135  0.00
O 0.073 0.568 0.460  0.01
O 0.376 0.452 0.201  -0.01
O 0.235 0.218 0.439  0.01
O 0.444 0.825 0.409  0.02
O 0.518 0.211 0.620  0.01
O 0.971 0.952 0.701  -0.01
O 0.734 0.483 0.635  0.00
O 0.108 0.718 0.939  0.01
O 0.322 0.325 0.909  0.02
O 0.899 0.068 0.960  0.01
O 0.756 0.021 0.282  0.02
O 0.651 0.711 0.120  0.01
O 0.012 0.445 0.258  0.01
O 0.942 0.521 0.782  0.02
Ni 0.497 0.007 0.511  1.82
Ni 0.985 0.507 0.011  1.82
S 0.187 0.407 0.326  0.01
S 0.533 0.229 0.780  0.01
S 0.921 0.092 0.140  0.01
S 0.847 0.592 0.640  0.01
S 0.080 0.907 0.826  0.01
S 0.457 0.729 0.280  0.01

---

The following is a DFT calculation (PBE+U) of an optimized crystal structure of Ni2SO6.

SG ... No. 136
Total energy ... -5.002 eV per atom

Cell lengths 4.463, 4.463, 8.505 Å; angles 90.00, 90.00, 90.00 degrees
Site moments in Bohr magnetons follow the coordinates.
Sites, in units of the cell vectors:
O 0.678 0.678 0.142  0.04
O 0.731 0.731 0.500  0.19
O 0.178 0.822 0.358  0.04
O 0.678 0.678 0.858  0.04
O 0.822 0.178 0.358  0.04
O 0.178 0.822 0.642  0.04
O 0.822 0.178 0.642  0.04
O 0.322 0.322 0.142  0.04
O 0.269 0.269 0.500  0.19
O 0.231 0.769 0.000  0.19
O 0.769 0.231 0.000  0.19
O 0.322 0.322 0.858  0.04
S 0.500 0.500 0.000  0.03
S 0.000 0.000 0.500  0.03
Ni 0.000 0.000 0.166  1.68
Ni 0.500 0.500 0.334  1.68
Ni 0.000 0.000 0.834  1.68
Ni 0.500 0.500 0.666  1.68

---

The following is a DFT calculation (PBE+U) of an optimized crystal structure of NiSO9.

SG ... No. 1
Total energy ... -4.821 eV per atom

Cell lengths 6.008, 6.154, 4.702 Å; angles 94.96, 107.21, 91.82 degrees
Site moments in Bohr magnetons follow the coordinates.
Sites, in units of the cell vectors:
O 0.134 0.724 0.101  0.02
O 0.645 0.871 0.912  -0.23
O 0.974 0.094 0.420  0.34
O 0.298 0.374 0.236  -0.01
O 0.696 0.464 0.781  0.06
O 0.640 0.693 0.030  -0.27
O 0.275 0.160 0.059  0.02
O 0.938 0.931 0.565  0.35
O 0.875 0.358 0.936  0.04
Ni 0.966 0.016 0.998  1.58
S 0.168 0.510 0.962  0.01

---

The following is a DFT calculation (PBE+U) of an optimized crystal structure of Ni2SO5.

SG ... No. 141
Total energy ... -5.460 eV per atom

Cell lengths 5.470, 5.470, 7.124 Å; angles 67.41, 67.41, 89.99 degrees
Site moments in Bohr magnetons follow the coordinates.
Sites, in units of the cell vectors:
O 0.830 0.806 0.888  0.04
O 0.806 0.281 0.388  0.04
O 0.806 0.830 0.388  0.04
O 0.375 0.625 0.250  0.14
O 0.281 0.806 0.888  0.04
O 0.170 0.194 0.112  0.04
O 0.719 0.194 0.112  0.04
O 0.194 0.719 0.612  0.04
O 0.625 0.375 0.750  0.14
O 0.194 0.170 0.612  0.04
S 0.875 0.125 0.250  0.02
S 0.125 0.875 0.750  0.02
Ni 0.000 0.500 0.500  1.79
Ni 0.500 0.500 0.500  1.79
Ni 0.500 0.000 0.000  1.79
Ni 0.500 0.500 0.000  1.79

---

The following is a DFT calculation (PBE+U) of an optimized crystal structure of NiS2O6.

SG ... No. 12
Total energy ... -5.421 eV per atom

Cell lengths 3.206, 4.901, 7.894 Å; angles 93.59, 90.00, 109.09 degrees
Site moments in Bohr magnetons follow the coordinates.
Sites, in units of the cell vectors:
S 0.699 0.398 0.239  -0.08
S 0.301 0.602 0.761  -0.08
O 0.854 0.708 0.292  0.00
O 0.146 0.292 0.708  0.00
O 0.836 0.673 0.845  -0.05
O 0.164 0.327 0.155  -0.05
O 0.392 0.783 0.605  0.03
O 0.608 0.217 0.395  0.03
Ni 0.000 0.000 0.500  1.79

---

The following is a DFT calculation (PBE+U) of an optimized crystal structure of NiSO9.

SG ... No. 146
Total energy ... -4.217 eV per atom

Cell lengths 5.906, 5.906, 5.906 Å; angles 98.36, 98.36, 98.36 degrees
Site moments in Bohr magnetons follow the coordinates.
Sites, in units of the cell vectors:
O 0.618 0.297 0.475  0.02
O 0.475 0.618 0.297  0.02
O 0.711 0.076 0.911  1.14
O 0.291 0.944 0.024  1.13
O 0.911 0.711 0.076  1.14
O 0.297 0.475 0.618  0.02
O 0.076 0.911 0.711  1.14
O 0.024 0.291 0.944  1.13
O 0.944 0.024 0.291  1.13
Ni 0.992 0.992 0.992  -0.29
S 0.464 0.464 0.464  0.00

---

The following is a DFT calculation (PBE+U) of an optimized crystal structure of NiSO9.

SG ... No. 1
Total energy ... -5.139 eV per atom

Cell lengths 4.427, 4.778, 7.873 Å; angles 100.45, 94.82, 93.22 degrees
Site moments in Bohr magnetons follow the coordinates.
Sites, in units of the cell vectors:
O 0.860 0.119 0.031  0.03
O 0.478 0.439 0.448  0.84
O 0.899 0.642 0.855  0.02
O 0.392 0.304 0.301  0.77
O 0.913 0.990 0.480  0.82
O 0.490 0.914 0.771  0.01
O 0.413 0.209 0.792  0.09
O 0.493 0.736 0.050  0.03
O 0.993 0.799 0.369  0.79
S 0.699 0.850 0.936  0.01
Ni 0.176 0.390 0.966  1.73

---

The following is a DFT calculation (PBE+U) of an optimized crystal structure of NiS3O.

SG ... No. 221
Total energy ... -2.719 eV per atom

Cell lengths 4.369, 4.369, 4.369 Å; angles 90.00, 90.00, 90.00 degrees
Site moments in Bohr magnetons follow the coordinates.
Sites, in units of the cell vectors:
S 0.500 0.000 0.000  0.30
S 0.000 0.000 0.500  0.31
S 0.000 0.500 0.000  0.23
Ni 0.000 0.000 0.000  0.18
O 0.500 0.500 0.500  1.32